No. 1
VASP calculation (GGA-PBE) on crystalline Na2W2Br at its relaxed geometry.

Unit cell a=9.7859 b=9.7859 c=2.7434 alpha=90.00 beta=90.00 gamma=90.00
Closest atoms and distances in Å follow each position.
Sites, in units of the cell vectors:
Na  0.2007  0.2993  0.0000  2 Na 2.74
Na  0.2993  0.7993  0.0000  2 Na 2.74
Na  0.7007  0.2007  0.0000  2 Na 2.74
Na  0.7993  0.7007  0.0000  2 Na 2.74
W  0.0824  0.5824  0.5000  1 W 2.28
W  0.4176  0.0824  0.5000  1 W 2.28
W  0.5824  0.9176  0.5000  1 W 2.28
W  0.9176  0.4176  0.5000  1 W 2.28
Br  0.0000  0.0000  0.0000  2 Br 2.74
Br  0.5000  0.5000  0.0000  2 Br 2.74

## Properties
The uncorrected formation energy comes out at 25.6 kcal/mol of atoms.

No. 2
VASP calculation (GGA-PBE) on crystalline NdEr2Ge2 at its relaxed geometry.

Unit cell a=5.6746 b=4.5602 c=10.6722 alpha=90.00 beta=101.49 gamma=90.00
Closest atoms and distances in Å follow each position.
Sites, in units of the cell vectors:
Nd  0.0785  0.2500  0.2805  5 Ge 3.06-3.21
Nd  0.9215  0.7500  0.7195  5 Ge 3.06-3.21
Er  0.2476  0.2500  0.9562  4 Ge 2.86-2.98
Er  0.3905  0.2500  0.6243  5 Ge 2.87-3.17
Er  0.6095  0.7500  0.3757  5 Ge 2.87-3.17
Er  0.7524  0.7500  0.0438  4 Ge 2.86-2.98
Ge  0.1751  0.7500  0.4757  4 Er 2.87-3.17, 3 Nd 3.06-3.21, 2 Ge 3.13
Ge  0.2760  0.7500  0.1209  5 Er 2.86-2.99, 2 Nd 3.18
Ge  0.7240  0.2500  0.8791  5 Er 2.86-2.99, 2 Nd 3.18
Ge  0.8249  0.2500  0.5243  4 Er 2.87-3.17, 3 Nd 3.06-3.21, 2 Ge 3.13

## Properties
Its formation energy is -589 meV/atom.

No. 3
VASP calculation (GGA-PBE) on crystalline Ba2NpGeN5 at its relaxed geometry.

Unit cell a=7.8012 b=7.8012 c=11.8728 alpha=90.00 beta=90.00 gamma=153.80
Closest atoms and distances in Å follow each position.
Sites, in units of the cell vectors:
Ba  0.0989  0.9011  0.5000  6 N 2.78-3.01
Ba  0.1341  0.8659  0.1490  5 N 2.71-2.91
Ba  0.8659  0.1341  0.6490  5 N 2.71-2.91
Ba  0.9011  0.0989  0.0000  6 N 2.78-3.01
Np  0.2040  0.7960  0.8544  1 N 1.90
Np  0.7960  0.2040  0.3544  1 N 1.90
Ge  0.4395  0.5605  0.2576  2 N 1.77-1.94
Ge  0.5605  0.4395  0.7576  2 N 1.77-1.94
N  0.0598  0.9402  0.8483  2 Ge 2.07, 1 Np 2.19
N  0.2901  0.7099  0.4585  2 Np 2.16
N  0.3128  0.6872  0.2379  1 Ge 1.94
N  0.3283  0.6717  0.8352  1 Np 1.90
N  0.4998  0.5002  0.1297  1 Ge 1.77
N  0.5002  0.4998  0.6297  1 Ge 1.77
N  0.6717  0.3283  0.3352  1 Np 1.90
N  0.6872  0.3128  0.7379  1 Ge 1.94
N  0.7099  0.2901  0.9585  2 Np 2.16
N  0.9402  0.0598  0.3483  2 Ge 2.07, 1 Np 2.19

## Properties
The uncorrected formation energy comes out at -13.3 kcal/mol of atoms.

No. 4
VASP calculation (GGA-PBE) on crystalline K3Pu3CuTe8 at its relaxed geometry.

Unit cell a=8.8098 b=8.8098 c=9.7066 alpha=116.16 beta=116.16 gamma=61.05
Closest atoms and distances in Å follow each position.
Sites, in units of the cell vectors:
K  0.0000  0.0000  0.0000  6 Te 3.51-3.58
K  0.0000  0.5000  0.0000  6 Te 3.52-3.61
K  0.5000  0.0000  0.0000  6 Te 3.52-3.61
Pu  0.0000  0.5000  0.5000  6 Te 3.05-3.12
Pu  0.5000  0.0000  0.5000  6 Te 3.05-3.12
Pu  0.5000  0.5000  0.5000  6 Te 3.06-3.10
Cu  0.0000  0.0000  0.5000  2 Te 2.67
Te  0.2047  0.2047  0.6789  1 Cu 2.67
Te  0.2332  0.7344  0.6998  1 Cu 3.05, 2 Pu 3.05-3.06
Te  0.2630  0.2630  0.2896  3 Pu 3.10
Te  0.2656  0.7668  0.3002  1 Cu 3.05, 2 Pu 3.05-3.06
Te  0.7344  0.2332  0.6998  1 Cu 3.05, 2 Pu 3.05-3.06
Te  0.7370  0.7370  0.7104  3 Pu 3.10
Te  0.7668  0.2656  0.3002  1 Cu 3.05, 2 Pu 3.05-3.06
Te  0.7953  0.7953  0.3211  1 Cu 2.67

## Properties
The uncorrected formation energy comes out at -18.5 kcal/mol of atoms.

| no. | calculated density (kg/m³) | DFT total energy (eV/atom) |
| --- | --- | --- |
| 1 | 6239 | -4.93 |
| 2 | 7658 | -5.21 |
| 3 | 6812 | -7.58 |
| 4 | 5670 | -5.84 |